[1]
Below is a relaxed Pr2Dy6Th3 crystal, with properties calculated at the GGA-PBE level.

The space group is C2/m (No. 12) and the conventional cell measures 6.200, 10.721 and 11.389 Å, with angles of 90.00, 90.10 and 90.00 degrees. The distinct sites, in fractional coordinates, are Pr at (0.000, 0.168, 0.000), Dy at (0.167, 0.335, 0.743), Dy at (0.172, 0.000, 0.744), Th at (0.000, 0.166, 0.500) and Th at (0.000, 0.500, 0.500).

The total magnetization is 0.000 μB/f.u. The value obtained for the energy of formation from the pure elements is 1.7 eV/f.u. The value obtained for the calculated total energy is -57.77 eV/f.u.

***

[2]
Below is a relaxed PrDy2Th crystal, with properties calculated at the GGA-PBE level.

The space group is P-1 (No. 2) and the conventional cell measures 3.549, 6.870 and 11.196 Å, with angles of 89.42, 89.94 and 75.04 degrees. The distinct sites, in fractional coordinates, are Pr at (0.130, 0.242, 0.487), Dy at (0.257, 0.987, 0.757), Dy at (0.478, 0.543, 0.242) and Th at (0.126, 0.246, 0.013).

The total magnetization is 0.000 μB/f.u. The polymorph energy (0 for the lowest one) comes out at 0.0265 eV per atom. The value obtained for the energy of formation from the pure elements is 0.2 eV/f.u. The value obtained for the calculated total energy is -21.24 eV/f.u.

***

[3]
Below is a relaxed Pr7Dy12Th crystal, with properties calculated at the GGA-PBE level.

The space group is R-3 (No. 148, hexagonal axes) and the conventional cell measures 12.3747, 12.3747 and 15.4370 Å, with angles of 90.00, 90.00 and 120.00 degrees. The distinct sites, in fractional coordinates, are Pr at (0.0000, 0.0000, 0.0000), Pr at (0.0330, 0.8497, 0.3031), Dy at (0.0143, 0.5689, 0.2004), Dy at (0.0603, 0.4734, 0.5894) and Th at (0.0000, 0.0000, 0.5000).

The total magnetization is 0.002 μB/f.u. The value obtained for the energy of formation from the pure elements is 4.6 eV/f.u. The value obtained for the calculated total energy is -91.47 eV/f.u.

***

[4]
Below is a relaxed Pr2DyTh2 crystal, with properties calculated at the GGA-PBE level.

The space group is R-3m (No. 166, hexagonal axes) and the conventional cell measures 3.6228, 3.6228 and 44.3480 Å, with angles of 90.00, 90.00 and 120.00 degrees. The distinct sites, in fractional coordinates, are Pr at (0.0000, 0.0000, 0.2035), Dy at (0.0000, 0.0000, 0.0000) and Th at (0.0000, 0.0000, 0.3981).

The total magnetization is 0.000 μB/f.u. The value obtained for the energy of formation from the pure elements is 0.2 eV/f.u. The value obtained for the calculated total energy is -28.81 eV/f.u.

***

[5]
Below is a relaxed Pr4Dy2TmTh crystal, with properties calculated at the GGA-PBE level.

The space group is Cmcm (No. 63) and the conventional cell measures 5.633, 11.809 and 16.842 Å, with angles of 90.00, 90.00 and 90.00 degrees. The distinct sites, in fractional coordinates, are Pr at (0.000, 0.000, 0.000), Pr at (0.000, 0.293, 0.075), Pr at (0.000, 0.413, 0.250), Dy at (0.000, 0.395, 0.609), Tm at (0.000, 0.196, 0.750) and Th at (0.000, 0.110, 0.250).

The total magnetization is 0.000 μB/f.u. The value obtained for the energy of formation from the pure elements is 2.0 eV/f.u. The value obtained for the calculated total energy is -38.26 eV/f.u.

***

[6]
Below is a relaxed PrDyTm2Th crystal, with properties calculated at the GGA-PBE level.

The space group is P2/m (No. 10) and the conventional cell measures 3.531, 5.619 and 8.663 Å, with angles of 90.00, 90.07 and 90.00 degrees. The distinct sites, in fractional coordinates, are Pr at (0.000, 0.000, 0.000), Dy at (0.500, 0.000, 0.500), Tm at (0.001, 0.500, 0.322) and Th at (0.500, 0.500, 0.000).

The total magnetization is 0.000 μB/f.u. The value obtained for the energy of formation from the pure elements is 1.6 eV/f.u. The value obtained for the calculated total energy is -24.16 eV/f.u.

***

[7]
Below is a relaxed Pr2Dy4TmTh crystal, with properties calculated at the GGA-PBE level.

The space group is P4/mmm (No. 123) and the conventional cell measures 5.921, 5.921 and 7.450 Å, with angles of 90.00, 90.00 and 90.00 degrees. The distinct sites, in fractional coordinates, are Pr at (0.000, 0.000, 0.000), Pr at (0.500, 0.500, 0.500), Dy at (0.000, 0.500, 0.249), Tm at (0.500, 0.500, 0.000) and Th at (0.000, 0.000, 0.500).

The total magnetization is 0.000 μB/f.u. The value obtained for the energy of formation from the pure elements is 1.0 eV/f.u. The value obtained for the calculated total energy is -38.85 eV/f.u.

***

[8]
Below is a relaxed Pr6DyTm2Th crystal, with properties calculated at the GGA-PBE level.

The space group is C2/c (No. 15) and the conventional cell measures 9.442, 15.104 and 9.765 Å, with angles of 90.00, 98.02 and 90.00 degrees. The distinct sites, in fractional coordinates, are Pr at (0.066, 0.173, 0.442), Pr at (0.094, 0.393, 0.618), Pr at (0.210, 0.217, 0.812), Dy at (0.000, 0.409, 0.250), Tm at (0.244, 0.045, 0.052) and Th at (0.000, 0.031, 0.750).

The total magnetization is 0.000 μB/f.u. The value obtained for the energy of formation from the pure elements is 1.4 eV/f.u. The value obtained for the calculated total energy is -48.24 eV/f.u.

***

[9]
Below is a relaxed PrDy3Tm6Th2 crystal, with properties calculated at the GGA-PBE level.

The space group is C2/m (No. 12) and the conventional cell measures 6.151, 10.646 and 11.624 Å, with angles of 90.00, 100.18 and 90.00 degrees. The distinct sites, in fractional coordinates, are Pr at (0.000, 0.000, 0.000), Dy at (0.000, 0.166, 0.500), Dy at (0.000, 0.500, 0.500), Tm at (0.246, 0.500, 0.249), Tm at (0.247, 0.331, 0.751) and Th at (0.000, 0.333, 0.000).

The total magnetization is 0.000 μB/f.u. The value obtained for the energy of formation from the pure elements is 0.4 eV/f.u. The value obtained for the calculated total energy is -59.84 eV/f.u.

***

[10]
Below is a relaxed Pr2DyTm5Th crystal, with properties calculated at the GGA-PBE level.

The space group is I4/mcm (No. 140) and the conventional cell measures 8.664, 8.664 and 15.366 Å, with angles of 90.00, 90.00 and 90.00 degrees. The distinct sites, in fractional coordinates, are Pr at (0.117, 0.383, 0.000), Dy at (0.000, 0.500, 0.250), Tm at (0.000, 0.000, 0.000), Tm at (0.214, 0.286, 0.359) and Th at (0.000, 0.000, 0.250).

The total magnetization is 0.000 μB/f.u. The value obtained for the energy of formation from the pure elements is 2.6 eV/f.u. The value obtained for the calculated total energy is -41.30 eV/f.u.

***

[11]
Below is a relaxed Pr3Dy6Tm2Th crystal, with properties calculated at the GGA-PBE level.

The space group is C2/m (No. 12) and the conventional cell measures 6.202, 10.739 and 11.864 Å, with angles of 90.00, 100.06 and 90.00 degrees. The distinct sites, in fractional coordinates, are Pr at (0.000, 0.000, 0.000), Pr at (0.000, 0.333, 0.000), Dy at (0.247, 0.335, 0.745), Dy at (0.248, 0.500, 0.255), Tm at (0.000, 0.167, 0.500) and Th at (0.000, 0.500, 0.500).

The total magnetization is 0.000 μB/f.u. The value obtained for the energy of formation from the pure elements is 0.3 eV/f.u. The value obtained for the calculated total energy is -58.05 eV/f.u.

***

[12]
Below is a relaxed PrDyTmTh2 crystal, with properties calculated at the GGA-PBE level.

The space group is Cmcm (No. 63) and the conventional cell measures 6.693, 15.627 and 6.693 Å, with angles of 90.00, 90.00 and 90.00 degrees. The distinct sites, in fractional coordinates, are Pr at (0.000, 0.249, 0.250), Dy at (0.000, 0.151, 0.750), Tm at (0.000, 0.350, 0.750) and Th at (0.250, 0.000, 0.000).

The total magnetization is 0.000 μB/f.u. The value obtained for the energy of formation from the pure elements is 1.8 eV/f.u. The value obtained for the calculated total energy is -26.86 eV/f.u.

***

[13]
Below is a relaxed Pr2Dy2Tm2Th crystal, with properties calculated at the GGA-PBE level.

The space group is C2/m (No. 12) and the conventional cell measures 17.854, 3.525 and 8.276 Å, with angles of 90.00, 115.79 and 90.00 degrees. The distinct sites, in fractional coordinates, are Pr at (0.141, 0.000, 0.380), Dy at (0.210, 0.500, 0.795), Tm at (0.071, 0.000, 0.898) and Th at (0.000, 0.500, 0.500).

The total magnetization is 0.000 μB/f.u. The value obtained for the energy of formation from the pure elements is 0.9 eV/f.u. The value obtained for the calculated total energy is -34.23 eV/f.u.

***

[14]
Below is a relaxed PrDy5Tm2Th crystal, with properties calculated at the GGA-PBE level.

The space group is Cmc2_1 (No. 36) and the conventional cell measures 5.720, 21.255 and 9.706 Å, with angles of 90.00, 90.00 and 90.00 degrees. The distinct sites, in fractional coordinates, are Pr at (0.000, 0.095, 0.000), Dy at (0.000, 0.029, 0.320), Dy at (0.000, 0.107, 0.614), Dy at (0.000, 0.195, 0.294), Dy at (0.000, 0.233, 0.912), Dy at (0.000, 0.487, 0.595), Tm at (0.000, 0.366, 0.284), Tm at (0.000, 0.388, 0.902) and Th at (0.000, 0.309, 0.603).

The total magnetization is 0.000 μB/f.u. The value obtained for the energy of formation from the pure elements is 1.5 eV/f.u. The value obtained for the calculated total energy is -42.64 eV/f.u.

***

[15]
Below is a relaxed PrDy6Tm2Th3 crystal, with properties calculated at the GGA-PBE level.

The space group is C2/m (No. 12) and the conventional cell measures 6.173, 10.692 and 11.744 Å, with angles of 90.00, 100.12 and 90.00 degrees. The distinct sites, in fractional coordinates, are Pr at (0.000, 0.000, 0.000), Dy at (0.248, 0.333, 0.746), Dy at (0.250, 0.000, 0.746), Tm at (0.000, 0.333, 0.000), Th at (0.000, 0.166, 0.500) and Th at (0.000, 0.500, 0.500).

The total magnetization is 0.000 μB/f.u. The value obtained for the energy of formation from the pure elements is 0.3 eV/f.u. The value obtained for the calculated total energy is -63.31 eV/f.u.

***

[16]
Below is a relaxed Pr5DyY2Th crystal, with properties calculated at the GGA-PBE level.

The space group is Cmcm (No. 63) and the conventional cell measures 5.465, 21.878 and 10.672 Å, with angles of 90.00, 90.00 and 90.00 degrees. The distinct sites, in fractional coordinates, are Pr at (0.000, 0.000, 0.000), Pr at (0.000, 0.125, 0.250), Pr at (0.000, 0.222, 0.557), Pr at (0.000, 0.498, 0.750), Dy at (0.000, 0.102, 0.750), Y at (0.000, 0.387, 0.005) and Th at (0.000, 0.286, 0.250).

The total magnetization is 0.000 μB/f.u. The value obtained for the energy of formation from the pure elements is 1.2 eV/f.u. The value obtained for the calculated total energy is -47.62 eV/f.u.

***

[17]
Below is a relaxed PrDyY5Th2 crystal, with properties calculated at the GGA-PBE level.

The space group is I4/mcm (No. 140) and the conventional cell measures 8.794, 8.794 and 15.600 Å, with angles of 90.00, 90.00 and 90.00 degrees. The distinct sites, in fractional coordinates, are Pr at (0.000, 0.500, 0.250), Dy at (0.000, 0.000, 0.250), Y at (0.000, 0.000, 0.000), Y at (0.208, 0.292, 0.138) and Th at (0.119, 0.381, 0.500).

The total magnetization is 0.000 μB/f.u. The value obtained for the energy of formation from the pure elements is 2.9 eV/f.u. The value obtained for the calculated total energy is -53.68 eV/f.u.

***

[18]
Below is a relaxed Pr6Dy2YTh crystal, with properties calculated at the GGA-PBE level.

The space group is C2/c (No. 15) and the conventional cell measures 9.368, 15.198 and 9.896 Å, with angles of 90.00, 98.76 and 90.00 degrees. The distinct sites, in fractional coordinates, are Pr at (0.067, 0.175, 0.444), Pr at (0.096, 0.395, 0.620), Pr at (0.207, 0.218, 0.814), Dy at (0.243, 0.045, 0.049), Y at (0.000, 0.407, 0.250) and Th at (0.000, 0.027, 0.750).

The total magnetization is 0.000 μB/f.u. The value obtained for the energy of formation from the pure elements is 1.4 eV/f.u. The value obtained for the calculated total energy is -50.37 eV/f.u.

***

[19]
Below is a relaxed Pr5Dy2YTh crystal, with properties calculated at the GGA-PBE level.

The space group is Cmcm (No. 63) and the conventional cell measures 5.458, 21.881 and 10.663 Å, with angles of 90.00, 90.00 and 90.00 degrees. The distinct sites, in fractional coordinates, are Pr at (0.000, 0.000, 0.000), Pr at (0.000, 0.126, 0.250), Pr at (0.000, 0.223, 0.558), Pr at (0.000, 0.497, 0.750), Dy at (0.000, 0.387, 0.006), Y at (0.000, 0.102, 0.750) and Th at (0.000, 0.287, 0.250).

The total magnetization is 0.000 μB/f.u. The value obtained for the energy of formation from the pure elements is 1.3 eV/f.u. The value obtained for the calculated total energy is -45.72 eV/f.u.